one) Re3WF | Alexandria | PBE with a Hubbard U | optimized geometry; symmetry = Pm-3m (221)
1.0
4.194 0.000 0.000
0.000 4.194 0.000
0.000 0.000 4.194
Re W F
3 1 1
direct
0.000 0.000 0.500
0.000 0.500 0.000
0.500 0.000 0.000
0.500 0.500 0.500
0.000 0.000 0.000

***

two) Re3WF | Alexandria | PBE with a Hubbard U | optimized geometry; symmetry = Pm-3m (221)
1.0
4.788 0.000 0.000
0.000 4.788 0.000
0.000 0.000 4.788
Re W F
3 1 1
direct
0.000 0.000 0.500
0.000 0.500 0.000
0.500 0.000 0.000
0.000 0.000 0.000
0.500 0.500 0.500

***

Stability ranking, top entry: one); the second entry is 1431 meV per atom less favorable.

***

one) Re2WF | Alexandria | PBE with a Hubbard U | optimized geometry; symmetry = Fm-3m (225)
1.0
0.000 3.105 3.105
3.105 0.000 3.105
3.105 3.105 0.000
Re W F
2 1 1
direct
0.250 0.250 0.250
0.750 0.750 0.750
0.000 0.000 0.000
0.500 0.500 0.500

***

two) Re2WF | Alexandria | PBE with a Hubbard U | optimized geometry; symmetry = I-42d (122)
1.0
-3.355 3.355 2.621
3.355 -3.355 2.621
3.355 3.355 -2.621
Re W F
4 2 2
direct
0.079 0.125 0.454
0.375 0.921 0.046
0.671 0.625 0.546
0.875 0.329 0.954
0.250 0.750 0.500
0.500 0.500 0.000
0.000 0.000 0.000
0.750 0.250 0.500

***

Stability ranking, top entry: one); the second entry is 171 meV per atom less favorable.